No. 1
BaZrCr4: relaxed, PBE.

As for the calculated volume: 400.02 Å³/cell. As for the energy of formation from the pure elements: 4.77 eV/f.u. Its energy is -7.365 eV per atom. The value obtained for the magnetic moment is 0.00 μB per formula unit.

The structure belongs to space group F-43m (No. 216); the cell edges are 7.368, 7.368 and 7.368 Å and the angles 90.00°, 90.00° and 90.00°. The asymmetric unit holds Ba at (0.000, 0.000, 0.000), Zr at (0.250, 0.250, 0.250) and Cr at (0.124, 0.124, 0.624).


No. 2
CePu5Sb6: relaxed, PBE.

The calculation puts the uncorrected formation energy at -0.65 eV/atom. As for the calculated volume: 745.10 Å³/cell. Its energy is -9.182 eV per atom. The value obtained for the magnetic moment is 16.08 μB per formula unit.

The structure belongs to space group C2/m (No. 12); the cell edges are 7.701, 13.312 and 7.705 Å and the angles 90.00°, 109.38° and 90.00°. The asymmetric unit holds Ce at (0.000, 0.000, 0.000), Pu at (0.000, 0.166, 0.500), Pu at (0.000, 0.334, 0.000), Pu at (0.000, 0.500, 0.500), Sb at (0.249, 0.332, 0.749) and Sb at (0.249, 0.500, 0.250).


No. 3
SiPtO2F: relaxed, PBE.

The calculation puts the uncorrected formation energy at -0.05 eV/atom. As for the calculated volume: 68.24 Å³/cell. Its energy is -4.696 eV per atom. The value obtained for the magnetic moment is 0.00 μB per formula unit.

The structure belongs to space group P4/mmm (No. 123); the cell edges are 4.015, 4.015 and 4.234 Å and the angles 90.00°, 90.00° and 90.00°. The asymmetric unit holds Si at (0.000, 0.000, 0.000), Pt at (0.500, 0.500, 0.500), O at (0.000, 0.500, 0.500) and F at (0.500, 0.500, 0.000).


No. 4
Ag2PtI6: relaxed, PBE.

The calculation puts the uncorrected formation energy at -0.15 eV/atom. As for the calculated volume: 633.01 Å³/cell. Its energy is -2.487 eV per atom. The value obtained for the magnetic moment is 0.00 μB per formula unit.

The structure belongs to space group P2_1/c (No. 14); the cell edges are 7.692, 7.236 and 13.597 Å and the angles 90.00°, 123.24° and 90.00°. The asymmetric unit holds Ag at (0.177, 0.028, 0.207), Pt at (0.500, 0.000, 0.000), I at (0.184, 0.638, 0.289), I at (0.218, 0.188, 0.020) and I at (0.454, 0.706, 0.108).


No. 5
GaGeIN2: relaxed, PBE.

The excess energy over the best structure of this formula in the dataset comes out at 0.0000 eV/atom. The calculation puts the uncorrected formation energy at 1.18 eV/atom. As for the calculated volume: 101.23 Å³/cell. Its energy is -3.989 eV per atom. The value obtained for the magnetic moment is 0.23 μB per formula unit.

The structure belongs to space group P4/mmm (No. 123); the cell edges are 3.902, 3.902 and 6.649 Å and the angles 90.00°, 90.00° and 90.00°. The asymmetric unit holds Ga at (0.000, 0.000, 0.000), Ge at (0.500, 0.500, 0.500), I at (0.500, 0.500, 0.000) and N at (0.000, 0.500, 0.500).


No. 6
PmDy6Zn2: relaxed, PBE.

The excess energy over the best structure of this formula in the dataset comes out at 0.0000 eV/atom. As for the calculated volume: 504.12 Å³/cell. As for the energy of formation from the pure elements: -1.27 eV/f.u. Its energy is -4.020 eV per atom. The value obtained for the magnetic moment is 0.00 μB per formula unit.

The structure belongs to space group C2/m (No. 12); the cell edges are 12.457, 3.634 and 11.763 Å and the angles 90.00°, 108.80° and 90.00°. The asymmetric unit holds Pm at (0.000, 0.000, 0.000), Dy at (0.022, 0.000, 0.333), Dy at (0.188, 0.500, 0.588), Dy at (0.191, 0.500, 0.874) and Zn at (0.151, 0.500, 0.210).


No. 7
Er2TmCd4: relaxed, PBE.

The excess energy over the best structure of this formula in the dataset comes out at 0.4684 eV/atom. As for the calculated volume: 477.40 Å³/cell. As for the energy of formation from the pure elements: 2.25 eV/f.u. Its energy is -2.145 eV per atom. The value obtained for the magnetic moment is 0.00 μB per formula unit.

The structure belongs to space group I4/mmm (No. 139); the cell edges are 5.554, 5.554 and 15.477 Å and the angles 90.00°, 90.00° and 90.00°. The asymmetric unit holds Er at (0.000, 0.000, 0.102), Tm at (0.000, 0.000, 0.500), Cd at (0.000, 0.000, 0.304) and Cd at (0.000, 0.500, 0.000).


No. 8
ZrAlCu: relaxed, PBE.

As for the calculated volume: 231.95 Å³/cell. As for the energy of formation from the pure elements: 0.75 eV/f.u. Its energy is -5.212 eV per atom. The value obtained for the magnetic moment is 0.00 μB per formula unit.

The structure belongs to space group Pmmn (No. 59, origin choice 2); the cell edges are 3.996, 9.339 and 6.215 Å and the angles 90.00°, 90.00° and 90.00°. The asymmetric unit holds Zr at (0.250, 0.093, 0.142), Al at (0.250, 0.608, 0.515) and Cu at (0.250, 0.120, 0.719).


No. 9
Dy2ErPaN4: relaxed, PBE.

The calculation puts the uncorrected formation energy at -1.72 eV/atom. As for the calculated volume: 117.95 Å³/cell. Its energy is -8.793 eV per atom. The value obtained for the magnetic moment is 0.00 μB per formula unit.

The structure belongs to space group P2/m (No. 10); the cell edges are 5.984, 3.483 and 5.993 Å and the angles 90.00°, 109.20° and 90.00°. The asymmetric unit holds Dy at (0.000, 0.000, 0.000), Dy at (0.500, 0.500, 0.000), Er at (0.000, 0.500, 0.500), Pa at (0.500, 0.000, 0.500), N at (0.256, 0.000, 0.739) and N at (0.257, 0.500, 0.260).


No. 10
Pm2TlCo: relaxed, PBE.

As for the calculated volume: 101.95 Å³/cell. As for the energy of formation from the pure elements: -0.20 eV/f.u. Its energy is -4.794 eV per atom. The value obtained for the magnetic moment is 0.68 μB per formula unit.

The structure belongs to space group P4/mmm (No. 123); the cell edges are 5.204, 5.204 and 3.765 Å and the angles 90.00°, 90.00° and 90.00°. The asymmetric unit holds Pm at (0.000, 0.500, 0.000), Tl at (0.000, 0.000, 0.500) and Co at (0.500, 0.500, 0.500).


No. 11
Sr2RhSe: relaxed, PBE.

The calculation puts the uncorrected formation energy at -0.85 eV/atom. As for the calculated volume: 216.88 Å³/cell. Its energy is -4.403 eV per atom. The value obtained for the magnetic moment is 0.56 μB per formula unit.

The structure belongs to space group Amm2 (No. 38); the cell edges are 4.447, 4.302 and 11.337 Å and the angles 90.00°, 90.00° and 90.00°. The asymmetric unit holds Sr at (0.000, 0.000, 0.000), Sr at (0.500, 0.000, 0.276), Rh at (0.500, 0.000, 0.572) and Se at (0.000, 0.000, 0.708).


No. 12
Ac4CdNi2: relaxed, PBE.

The excess energy over the best structure of this formula in the dataset comes out at 0.0000 eV/atom. As for the calculated volume: 930.96 Å³/cell. As for the energy of formation from the pure elements: -1.37 eV/f.u. Its energy is -4.326 eV per atom. The value obtained for the magnetic moment is 0.00 μB per formula unit.

The structure belongs to space group Cmcm (No. 63); the cell edges are 4.274, 14.700 and 14.816 Å and the angles 90.00°, 90.00° and 90.00°. The asymmetric unit holds Ac at (0.000, 0.000, 0.000), Ac at (0.000, 0.263, 0.112), Ac at (0.000, 0.429, 0.750), Cd at (0.000, 0.112, 0.750) and Ni at (0.000, 0.368, 0.558).


No. 13
LaCo2Te: relaxed, PBE.

The calculation puts the uncorrected formation energy at -0.11 eV/atom. As for the calculated volume: 373.23 Å³/cell. Its energy is -5.678 eV per atom. The value obtained for the magnetic moment is 1.23 μB per formula unit.

The structure belongs to space group I-42d (No. 122); the cell edges are 4.713, 4.713 and 16.804 Å and the angles 90.00°, 90.00° and 90.00°. The asymmetric unit holds La at (0.000, 0.000, 0.000), Co at (0.019, 0.750, 0.625) and Te at (0.000, 0.000, 0.500).


No. 14
Sr2CaNpN4: relaxed, PBE.

The calculation puts the uncorrected formation energy at -1.00 eV/atom. As for the calculated volume: 130.70 Å³/cell. Its energy is -7.450 eV per atom. The value obtained for the magnetic moment is 1.00 μB per formula unit.

The structure belongs to space group P2/m (No. 10); the cell edges are 6.086, 3.626 and 6.263 Å and the angles 90.00°, 108.97° and 90.00°. The asymmetric unit holds Sr at (0.000, 0.000, 0.000), Sr at (0.500, 0.500, 0.000), Ca at (0.000, 0.500, 0.500), Np at (0.500, 0.000, 0.500), N at (0.281, 0.500, 0.291) and N at (0.289, 0.000, 0.697).


No. 15
GeMoPS2: relaxed, PBE.

The excess energy over the best structure of this formula in the dataset comes out at 0.6461 eV/atom. The calculation puts the uncorrected formation energy at 0.99 eV/atom. As for the calculated volume: 99.58 Å³/cell. Its energy is -4.831 eV per atom. The value obtained for the magnetic moment is 2.49 μB per formula unit.

The structure belongs to space group P4/mmm (No. 123); the cell edges are 4.628, 4.628 and 4.649 Å and the angles 90.00°, 90.00° and 90.00°. The asymmetric unit holds Ge at (0.000, 0.000, 0.000), Mo at (0.500, 0.500, 0.500), P at (0.000, 0.000, 0.500) and S at (0.000, 0.500, 0.000).


No. 16
Ba3ScP3: relaxed, PBE.

As for the calculated volume: 940.17 Å³/cell. As for the energy of formation from the pure elements: -7.97 eV/f.u. Its energy is -5.186 eV per atom. The value obtained for the magnetic moment is 0.00 μB per formula unit.

The structure belongs to space group P2_1/c (No. 14); the cell edges are 9.205, 8.015 and 12.799 Å and the angles 90.00°, 95.37° and 90.00°. The asymmetric unit holds Ba at (0.076, 0.158, 0.134), Ba at (0.330, 0.726, 0.793), Ba at (0.393, 0.229, 0.925), Sc at (0.163, 0.589, 0.054), P at (0.091, 0.051, 0.375), P at (0.258, 0.618, 0.519) and P at (0.360, 0.077, 0.663).


No. 17
Ba2ZnIr: relaxed, PBE.

As for the calculated volume: 451.06 Å³/cell. As for the energy of formation from the pure elements: -1.08 eV/f.u. Its energy is -3.765 eV per atom. The value obtained for the magnetic moment is 0.00 μB per formula unit.

The structure belongs to space group R3m (No. 160, hexagonal axes); the cell edges are 4.5076, 4.5076 and 25.6339 Å and the angles 90.00°, 90.00° and 120.00°. The asymmetric unit holds Ba at (0.0000, 0.0000, 0.0000), Ba at (0.0000, 0.0000, 0.1621), Zn at (0.0000, 0.0000, 0.7477) and Ir at (0.0000, 0.0000, 0.4143).


No. 18
GaAgAuO4: relaxed, PBE.

The calculation puts the uncorrected formation energy at -0.58 eV/atom. As for the calculated volume: 366.01 Å³/cell. Its energy is -4.723 eV per atom. The value obtained for the magnetic moment is 0.00 μB per formula unit.

The structure belongs to space group Imma (No. 74); the cell edges are 6.148, 6.880 and 8.653 Å and the angles 90.00°, 90.00° and 90.00°. The asymmetric unit holds Ga at (0.250, 0.250, 0.250), Ag at (0.000, 0.250, 0.650), Au at (0.000, 0.000, 0.000), O at (0.000, 0.052, 0.237) and O at (0.220, 0.250, 0.018).


No. 19
PrMgRh: relaxed, PBE.

As for the calculated volume: 136.88 Å³/cell. As for the energy of formation from the pure elements: -1.19 eV/f.u. Its energy is -4.970 eV per atom. The value obtained for the magnetic moment is 0.00 μB per formula unit.

The structure belongs to space group I4mm (No. 107); the cell edges are 3.393, 3.393 and 11.889 Å and the angles 90.00°, 90.00° and 90.00°. The asymmetric unit holds Pr at (0.000, 0.000, 0.000), Mg at (0.000, 0.000, 0.729) and Rh at (0.000, 0.000, 0.349).


No. 20
Na2YZr2Te6: relaxed, PBE.

The calculation puts the uncorrected formation energy at -1.04 eV/atom. As for the calculated volume: 705.81 Å³/cell. Its energy is -5.134 eV per atom. The value obtained for the magnetic moment is 0.00 μB per formula unit.

The structure belongs to space group C2/m (No. 12); the cell edges are 7.210, 12.555 and 8.148 Å and the angles 90.00°, 106.86° and 90.00°. The asymmetric unit holds Na at (0.000, 0.161, 0.000), Y at (0.000, 0.000, 0.500), Zr at (0.000, 0.332, 0.500), Te at (0.224, 0.500, 0.726) and Te at (0.248, 0.172, 0.727).